{
  "formula": "LiPmNd4",
  "functional": "GGA-PBE",
  "state": "relaxed",
  "formation_energy_ev_per_atom": 0.0448,
  "m_tot_mub_per_fu": 0.00,
  "crystal_system": "tetragonal",
  "cell": [[3.669, -0.296, 0.018], [0.296, 3.669, 0.021], [-0.076, -0.077, 14.509]],
  "species": ["Li", "Pm", "Nd", "Nd", "Nd", "Nd"],
  "fractional_positions": [[0.000, 0.500, 0.500], [0.500, 0.000, 0.000], [0.000, 0.500, 0.821], [0.000, 0.500, 0.179], [0.500, 0.000, 0.644], [0.500, 0.000, 0.356]]
}